Entry 1:
DFT (PBE-GGA) results for an optimized crystal structure of Hg2OsBr.

a = 5.2178 Å, b = 5.2178 Å, c = 3.1686 Å
α = 90.01°, β = 90.01°, γ = 110.20°
Each line ends with the local moment (μB).
Positions (direct):
1 Os 0.5000 0.0000 0.5000  0.88
2 Hg 0.0000 0.0000 0.0000  -0.02
3 Hg 0.5000 0.5000 0.0000  -0.02
4 Br 0.0000 0.5000 0.5000  0.01

Summary:
The formation energy without anion corrections is 0.8966 eV/atom.

***

Entry 2:
DFT (PBE-GGA) results for an optimized crystal structure of IrOsAu2.

a = 4.8723 Å, b = 4.8723 Å, c = 4.8723 Å
α = 131.28°, β = 131.28°, γ = 71.38°
Positions (direct):
1 Au 0.0000 0.0000 0.0000
2 Au 0.2500 0.7500 0.5000
3 Ir 0.5000 0.5000 0.0000
4 Os 0.7500 0.2500 0.5000

Summary:
The value obtained for the formation energy is 230 kJ/mol of formula units.

***

no.,total magnetic moment (μB/f.u.)
1,0.907
2,0.000